Entry 1:
A plane-wave DFT calculation with PBE was carried out for a relaxed Sc4Tl3Pd crystal.

Unit cell a=3.420 b=3.420 c=15.111 alpha=90.00 beta=90.00 gamma=90.00
Each line ends with the local moment (μB).
Fractional coordinates of all 8 atoms:
Sc1 0.000 0.000 0.896  -0.01
Sc2 0.000 0.000 0.104  -0.01
Sc3 0.000 0.000 0.367  0.16
Sc4 0.000 0.000 0.633  0.16
Tl1 0.500 0.500 0.237  0.00
Tl2 0.500 0.500 0.500  0.00
Tl3 0.500 0.500 0.763  0.00
Pd1 0.500 0.500 0.000  0.00

Summary:
energy of formation: -0.4181 eV/atom
space group: P4/mmm
crystal system: tetragonal
volume: 22.1 Å³ per atom

***

Entry 2:
A plane-wave DFT calculation with PBE was carried out for a relaxed CePm4Pr7 crystal.

Unit cell a=7.397 b=9.808 c=9.175 alpha=81.17 beta=89.96 gamma=41.02
Each line ends with the local moment (μB).
Fractional coordinates of all 12 atoms:
Ce1 0.000 0.000 0.000  0.79
Pm1 0.525 0.724 0.330  0.01
Pm2 0.475 0.276 0.670  0.01
Pm3 0.720 0.780 0.665  -0.01
Pm4 0.280 0.220 0.335  -0.01
Pr1 0.748 0.500 0.001  0.01
Pr2 0.252 0.500 0.999  0.01
Pr3 0.969 0.278 0.670  0.01
Pr4 0.031 0.722 0.330  0.01
Pr5 0.218 0.781 0.671  0.00
Pr6 0.500 0.000 0.000  0.01
Pr7 0.782 0.219 0.329  0.00

Summary:
energy of formation: 0.0338 eV/atom
space group: P-1
crystal system: triclinic
volume: 35.4 Å³ per atom

***

Entry 3:
A plane-wave DFT calculation with PBE was carried out for a relaxed FeSn2Br6 crystal.

Unit cell a=7.415 b=11.307 c=11.307 alpha=77.18 beta=120.75 gamma=120.75
Each line ends with the local moment (μB).
Fractional coordinates of all 18 atoms:
Fe1 0.250 0.805 0.195  3.35
Fe2 0.750 0.195 0.805  3.35
Sn1 0.947 0.333 0.169  0.01
Sn2 0.553 0.831 0.667  0.01
Sn3 0.053 0.667 0.831  0.01
Sn4 0.447 0.169 0.333  0.01
Br1 0.284 0.303 0.419  0.01
Br2 0.216 0.581 0.697  0.01
Br3 0.716 0.697 0.581  0.01
Br4 0.784 0.419 0.303  0.01
Br5 0.813 0.183 0.616  0.07
Br6 0.687 0.384 0.817  0.07
Br7 0.187 0.817 0.384  0.07
Br8 0.313 0.616 0.183  0.07
Br9 0.102 0.223 0.024  0.08
Br10 0.398 0.976 0.777  0.08
Br11 0.898 0.777 0.976  0.08
Br12 0.602 0.024 0.223  0.08

Summary:
space group: C2/c
uncorrected formation energy: -5.5 eV/f.u.
crystal system: monoclinic
volume: 38.8 Å³ per atom

***

Entry 4:
A plane-wave DFT calculation with PBE was carried out for a relaxed Na2LiNdCl6 crystal.

Unit cell a=6.982 b=6.979 c=7.419 alpha=61.99 beta=61.98 gamma=60.00
Fractional coordinates of all 10 atoms:
Na1 0.523 0.523 0.432
Na2 0.020 0.020 0.940
Li1 0.812 0.812 0.562
Nd1 0.321 0.321 0.038
Cl1 0.602 0.202 0.261
Cl2 0.202 0.936 0.260
Cl3 0.936 0.602 0.261
Cl4 0.444 0.708 0.754
Cl5 0.708 0.093 0.754
Cl6 0.093 0.444 0.754

Summary:
energy above the most stable polymorph in this dataset: 0.000 eV per atom
space group: P1
uncorrected formation energy: -19.8 eV/f.u.
crystal system: triclinic
volume: 26.3 Å³ per atom

***

Entry 5:
A plane-wave DFT calculation with PBE was carried out for a relaxed Li7Ag3Hg crystal.

Unit cell a=4.954 b=6.873 c=6.873 alpha=89.80 beta=110.82 gamma=110.82
Fractional coordinates of all 11 atoms:
Li1 0.173 0.174 0.174
Li2 0.331 0.060 0.603
Li3 0.669 0.397 0.940
Li4 0.331 0.603 0.060
Li5 0.000 0.500 0.500
Li6 0.669 0.940 0.397
Li7 0.827 0.826 0.826
Ag1 0.000 0.772 0.228
Ag2 0.500 0.000 0.000
Ag3 0.000 0.228 0.772
Hg1 0.500 0.500 0.500

Summary:
energy of formation: -0.1274 eV/atom
energy above the most stable polymorph in this dataset: 0.044 eV per atom
space group: C2/m
crystal system: monoclinic
volume: 18.4 Å³ per atom

***

Entry 6:
A plane-wave DFT calculation with PBE was carried out for a relaxed NbIrCI crystal.

Unit cell a=3.259 b=3.873 c=6.590 alpha=85.06 beta=89.91 gamma=65.08
Fractional coordinates of all 4 atoms:
I1 0.513 0.204 0.380
Nb1 0.525 0.179 0.947
Ir1 0.218 0.792 0.678
C1 0.807 0.614 0.863

Summary:
energy above the most stable polymorph in this dataset: 0.164 eV per atom
space group: P1
uncorrected formation energy: 1.5 eV/f.u.
crystal system: triclinic
volume: 18.8 Å³ per atom

***

Entry 7:
A plane-wave DFT calculation with PBE was carried out for a relaxed CsVS3 crystal.

Unit cell a=3.861 b=9.558 c=10.264 alpha=90.00 beta=124.73 gamma=90.00
Fractional coordinates of all 10 atoms:
Cs1 0.831 0.250 0.887
Cs2 0.169 0.750 0.113
S1 0.804 0.073 0.197
S2 0.196 0.927 0.803
S3 0.804 0.427 0.197
S4 0.196 0.573 0.803
S5 0.741 0.250 0.486
S6 0.259 0.750 0.514
V1 0.025 0.250 0.343
V2 0.975 0.750 0.657

Summary:
energy above the most stable polymorph in this dataset: 0.104 eV per atom
space group: P2_1/m
uncorrected formation energy: -4.4 eV/f.u.
crystal system: monoclinic
volume: 31.1 Å³ per atom

***

Entry 8:
A plane-wave DFT calculation with PBE was carried out for a relaxed Li3HgPb crystal.

Unit cell a=4.946 b=5.056 c=8.352 alpha=71.42 beta=90.00 gamma=90.00
Fractional coordinates of all 10 atoms:
Li1 0.750 0.374 0.092
Li2 0.250 0.626 0.908
Li3 0.250 0.189 0.721
Li4 0.750 0.811 0.279
Li5 0.750 0.584 0.712
Li6 0.250 0.416 0.288
Hg1 0.750 0.937 0.914
Hg2 0.250 0.063 0.086
Pb1 0.250 0.790 0.505
Pb2 0.750 0.210 0.495

Summary:
energy of formation: -0.2929 eV/atom
energy above the most stable polymorph in this dataset: 0.000 eV per atom
space group: P2_1/m
crystal system: monoclinic
volume: 19.8 Å³ per atom